# 1
Entry from OQMD via LeMat-Bulk: a relaxed DyIn crystal (PBE).

Cell: 4.6393 4.6393 6.7543 Å, 90.00 90.00 120.00°
Fractional coordinates of all 4 atoms:
In: 0.3333 0.6667 0.7500
In: 0.6667 0.3333 0.2500
Dy: 0.0000 0.0000 0.0000
Dy: 0.0000 0.0000 0.5000

Output
calculated density	7.3	Mg/m³
raw total energy	-3.606	eV per atom
SG	P6_3/mmc, No. 194

---

# 2
Entry from OQMD via LeMat-Bulk: a relaxed DyIn crystal (PBE).

Cell: 4.3940 4.3940 4.3940 Å, 60.00 60.00 60.00°
Fractional coordinates of all 2 atoms:
Dy: 0.0000 0.0000 0.0000
In: 0.5000 0.5000 0.5000

Output
calculated density	7.7	Mg/m³
raw total energy	-3.743	eV per atom
SG	Fm-3m, No. 225